! TiVAg2O5 PBE with a Hubbard U relaxed; values from VASP
! Total energy ... -120.582 eV per cell
&SYSTEM
  ibrav = 0, nat = 18, ntyp = 4
/
ATOMIC_SPECIES
Ti 47.87 Ti.upf
V 50.94 V.upf
Ag 107.87 Ag.upf
O 16.00 O.upf
CELL_PARAMETERS angstrom
1.561 -6.074 0.000
1.561 6.074 0.000
0.000 0.000 12.401
ATOMIC_POSITIONS angstrom
Ti 1.561 3.277 6.201
Ti 1.561 -3.277 0.000
V 1.561 0.278 11.291
V 1.561 -0.278 5.091
Ag 1.561 5.050 1.959
Ag 1.561 3.799 9.374
Ag 1.561 -3.799 3.174
Ag 1.561 -5.050 8.160
O 1.561 5.451 6.136
O 1.561 2.800 1.249
O 1.561 2.287 11.122
O 1.561 1.569 5.740
O 1.561 0.147 3.402
O 1.561 -0.147 9.603
O 1.561 -1.569 11.941
O 1.561 -2.287 4.921
O 1.561 -2.800 7.450
O 1.561 -5.451 12.336